# 1
Material: NbRe2HW
Method: DFT, PBE
State: optimized geometry

a b c (Å): 4.033 4.033 4.085
angles (deg): 90.00 90.00 90.00
Atoms (fractional coordinates):
Re1 0.000 0.500 0.000
H1 0.000 0.000 0.000
Re2 0.500 0.000 0.000
Nb1 0.000 0.000 0.500
W1 0.500 0.500 0.500

Values from the calculation:
- symmetry = P4/mmm
- electronic total energy (eV per atom) = -10.089

# 2
Material: NaHo2Mg
Method: DFT, PBE
State: optimized geometry

a b c (Å): 3.730 3.730 8.630
angles (deg): 90.00 90.00 90.00
Atoms (fractional coordinates):
Ho1 0.000 0.000 0.790
Ho2 0.000 0.000 0.210
Mg1 0.500 0.500 0.000
Na1 0.500 0.500 0.500

Values from the calculation:
- formation enthalpy at 0 K (eV per formula unit) = 0.60
- symmetry = P4/mmm
- offset from the most stable computed form (meV per atom) = 0

# 3
Material: MgReTc2Hg
Method: DFT, PBE
State: optimized geometry

a b c (Å): 4.928 4.589 4.928
angles (deg): 90.00 90.00 90.00
Atoms (fractional coordinates):
Hg1 0.000 0.000 0.000
Mg1 0.000 0.500 0.000
Tc1 0.000 0.000 0.500
Tc2 0.500 0.000 0.000
Re1 0.500 0.500 0.500

Values from the calculation:
- formation enthalpy at 0 K (eV per formula unit) = 12.37
- symmetry = P4/mmm